Below is a PBEsol-optimized structure of IrW3, with properties calculated at the SCAN level.

Summary:
Its space-group type is P-6m2 (187). As for the energy of formation from the pure elements: 0.7 eV/f.u. For the total magnetization, the calculation gives 0.0 μB per formula unit. The calculation puts the energy at -279.4 eV per cell.

Cell: 2.766 2.766 9.299 Å, 90.00 90.00 120.00°
Fractional coordinates of all 4 atoms:
Ir  0.000  0.000  0.000
W  0.000  0.000  0.500
W  0.667  0.333  0.238
W  0.667  0.333  0.762